1.
! SrPAu2 (PBE, relaxed); values from VASP
&SYSTEM
  ibrav = 0, nat = 4, ntyp = 3
/
ATOMIC_SPECIES
P 30.97 P.upf
Au 196.97 Au.upf
Sr 87.62 Sr.upf
CELL_PARAMETERS angstrom
-1.342 3.401 2.202
-3.128 0.604 -2.839
-2.880 -2.805 2.576
ATOMIC_POSITIONS angstrom
P -3.675 0.600 0.969
Au -0.671 1.700 1.101
Au -1.564 0.302 -1.420
Sr -1.440 -1.402 1.288
! - D(E_F) (states/eV/cell) = 2.26
! - formation energy from the elements (eV/atom) = -0.242
! - DFT total energy (eV per atom) = -3.65
! - space-group type = P4/mmm (123)

2.
! HgRuSe2 (PBE, relaxed); values from VASP
&SYSTEM
  ibrav = 0, nat = 4, ntyp = 3
/
ATOMIC_SPECIES
Se 78.96 Se.upf
Hg 200.59 Hg.upf
Ru 101.07 Ru.upf
CELL_PARAMETERS angstrom
-2.889 0.804 -0.068
-0.112 -0.149 2.994
2.822 10.188 0.614
ATOMIC_POSITIONS angstrom
Se 2.372 8.563 0.516
Se -0.949 2.320 1.583
Hg 1.413 5.103 0.307
Ru 1.217 10.139 2.054
! - D(E_F) (states/eV/cell) = 1.92
! - formation energy without anion corrections (eV/atom) = 0.030
! - DFT total energy (eV per atom) = -4.11
! - space-group type = P4mm (99)

3.
! MgZr2Zn (PBE, relaxed); values from VASP
&SYSTEM
  ibrav = 0, nat = 4, ntyp = 3
/
ATOMIC_SPECIES
Zr 91.22 Zr.upf
Mg 24.30 Mg.upf
Zn 65.41 Zn.upf
CELL_PARAMETERS angstrom
-0.387 -2.011 5.251
2.062 -3.527 3.883
3.270 2.319 3.285
ATOMIC_POSITIONS angstrom
Zr 3.812 -2.315 9.390
Mg 2.330 -1.856 6.227
Zn 1.382 -0.681 3.228
Zr 4.839 -3.194 12.202
! - D(E_F) (states/eV/cell) = 3.34
! - formation energy from the elements (eV/atom) = -0.076
! - relative energy among the computed polymorphs (meV per atom) = 36.4
! - DFT total energy (eV per atom) = -5.07
! - space-group type = Cm (8)

4.
! SrMg2Mo (PBE, relaxed); values from VASP
&SYSTEM
  ibrav = 0, nat = 4, ntyp = 3
/
ATOMIC_SPECIES
Sr 87.62 Sr.upf
Mo 95.94 Mo.upf
Mg 24.30 Mg.upf
CELL_PARAMETERS angstrom
3.730 -1.642 -3.186
1.917 -4.778 0.507
-1.044 -3.598 -3.568
ATOMIC_POSITIONS angstrom
Sr 0.000 0.000 0.000
Mo 2.302 -5.009 -3.124
Mg 1.151 -2.504 -1.562
Mg 3.453 -7.513 -4.686
! - D(E_F) (states/eV/cell) = 3.37
! - formation energy from the elements (eV/atom) = 0.626
! - relative energy among the computed polymorphs (meV per atom) = 137.2
! - DFT total energy (eV per atom) = -3.30
! - space-group type = Fm-3m (225)

5.
! PrEr2Sc (PBE, relaxed); values from VASP
&SYSTEM
  ibrav = 0, nat = 4, ntyp = 3
/
ATOMIC_SPECIES
Er 167.26 Er.upf
Pr 140.91 Pr.upf
Sc 44.96 Sc.upf
CELL_PARAMETERS angstrom
-2.102 -2.219 1.876
0.203 -5.786 -3.192
3.835 -5.123 1.662
ATOMIC_POSITIONS angstrom
Er 3.507 -5.100 1.320
Er 0.742 -6.688 -0.225
Pr 0.745 -3.234 0.435
Sc 1.745 -9.793 0.651
! - D(E_F) (states/eV/cell) = 6.27
! - formation energy from the elements (eV/atom) = 0.030
! - relative energy among the computed polymorphs (meV per atom) = 0.0
! - DFT total energy (eV per atom) = -5.03
! - space-group type = Imm2 (44)

6.
! MnVMoPb2 (PBE, relaxed); values from VASP
&SYSTEM
  ibrav = 0, nat = 5, ntyp = 4
/
ATOMIC_SPECIES
V 50.94 V.upf
Mo 95.94 Mo.upf
Pb 207.20 Pb.upf
Mn 54.94 Mn.upf
CELL_PARAMETERS angstrom
5.072 0.000 0.000
0.000 4.645 0.000
0.000 0.000 5.072
ATOMIC_POSITIONS angstrom
V 2.536 2.323 2.536
Mo 0.000 2.323 0.000
Pb 0.000 0.000 2.536
Mn 0.000 0.000 0.000
Pb 2.536 0.000 0.000
! - D(E_F) (states/eV/cell) = 5.06
! - formation energy from the elements (eV/atom) = 1.191
! - DFT total energy (eV per atom) = -6.12
! - space-group type = P4/mmm (123)

7.
! Pm2BOs2C2 (PBE, relaxed); values from VASP
&SYSTEM
  ibrav = 0, nat = 7, ntyp = 4
/
ATOMIC_SPECIES
C 12.01 C.upf
Os 190.23 Os.upf
Pm 145.00 Pm.upf
B 10.81 B.upf
CELL_PARAMETERS angstrom
-0.310 2.498 2.611
2.535 -2.057 4.788
5.453 2.419 0.853
ATOMIC_POSITIONS angstrom
C 5.487 2.506 5.811
Os 6.591 1.282 4.595
Os 1.087 1.578 3.657
Pm 3.923 2.629 2.989
B 0.000 0.000 0.000
Pm 3.755 0.231 5.263
C 2.191 0.354 2.441
! - D(E_F) (states/eV/cell) = 1.87
! - formation energy from the elements (eV/atom) = -0.122
! - DFT total energy (eV per atom) = -8.28
! - space-group type = C2/m (12)

8.
! Cd9InSn2 (PBE, relaxed); values from VASP
&SYSTEM
  ibrav = 0, nat = 12, ntyp = 3
/
ATOMIC_SPECIES
Sn 118.71 Sn.upf
Cd 112.41 Cd.upf
In 114.82 In.upf
CELL_PARAMETERS angstrom
-2.252 -3.914 0.584
3.905 -2.307 -0.403
1.967 0.923 13.780
ATOMIC_POSITIONS angstrom
Sn 0.657 0.308 4.601
Cd -0.142 -1.496 7.182
Cd 1.479 -2.804 4.661
Cd 0.516 -1.187 11.795
Cd 3.595 -0.383 11.302
Cd 0.826 -3.110 0.090
Cd 2.936 -0.692 6.689
Sn 1.311 0.615 9.179
In 0.000 0.000 0.000
Cd 2.277 -1.001 2.075
Cd 2.141 -2.494 9.300
Cd -0.801 -1.805 2.568
! - D(E_F) (states/eV/cell) = 2.79
! - formation energy from the elements (eV/atom) = 0.036
! - DFT total energy (eV per atom) = -1.55
! - space-group type = P4/mmm (123)

9.
! Cs2BaLi2Br6 (PBE, relaxed); values from VASP
&SYSTEM
  ibrav = 0, nat = 11, ntyp = 4
/
ATOMIC_SPECIES
Br 79.90 Br.upf
Ba 137.33 Ba.upf
Cs 132.91 Cs.upf
Li 6.94 Li.upf
CELL_PARAMETERS angstrom
8.293 0.000 0.000
-4.147 6.890 -0.023
0.000 -3.967 8.219
ATOMIC_POSITIONS angstrom
Br 2.061 -2.425 6.565
Ba 4.147 -1.984 4.110
Cs 4.147 2.168 1.355
Br 2.086 5.348 1.632
Li 4.147 3.236 6.079
Br 0.000 1.782 3.340
Br -2.086 5.348 1.632
Br 6.232 -2.425 6.565
Br 4.147 1.141 4.857
Cs 0.000 0.755 6.842
Li 0.000 -0.314 2.118
! - D(E_F) (states/eV/cell) = 0.00
! - formation energy without anion corrections (eV/atom) = -1.777
! - DFT total energy (eV per atom) = -3.37
! - space-group type = C2/m (12)

10.
! Sm2Ho2Er3 (PBE, relaxed); values from VASP
&SYSTEM
  ibrav = 0, nat = 14, ntyp = 3
/
ATOMIC_SPECIES
Ho 164.93 Ho.upf
Er 167.26 Er.upf
Sm 150.36 Sm.upf
CELL_PARAMETERS angstrom
-5.380 -6.409 0.458
7.166 -2.091 3.808
-3.317 6.706 3.776
ATOMIC_POSITIONS angstrom
Ho -1.369 2.768 1.558
Er -1.058 -3.908 3.632
Er -1.472 0.314 6.730
Er 4.769 -2.284 4.427
Ho -1.390 -0.714 3.689
Sm 1.910 -3.039 2.047
Sm 1.636 1.969 5.312
Sm 1.464 -1.547 5.206
Ho -2.823 -3.361 0.931
Er -3.490 1.796 3.765
Er -4.406 -1.959 3.429
Ho -1.327 -6.896 2.322
Sm -2.690 5.439 3.062
Er 1.066 0.661 2.144
! - D(E_F) (states/eV/cell) = 17.90
! - formation energy from the elements (eV/atom) = 0.232
! - relative energy among the computed polymorphs (meV per atom) = 110.2
! - DFT total energy (eV per atom) = -4.38
! - space-group type = I2_13 (199)

11.
! Zn2AgAu (PBE, relaxed); values from VASP
&SYSTEM
  ibrav = 0, nat = 4, ntyp = 3
/
ATOMIC_SPECIES
Zn 65.41 Zn.upf
Au 196.97 Au.upf
Ag 107.87 Ag.upf
CELL_PARAMETERS angstrom
4.340 0.000 0.000
0.000 2.884 -0.012
0.000 1.350 5.192
ATOMIC_POSITIONS angstrom
Zn 0.000 1.892 5.088
Zn 2.170 0.513 1.403
Au 2.170 3.340 4.108
Ag 0.000 1.956 2.365
! - D(E_F) (states/eV/cell) = 0.85
! - formation energy from the elements (eV/atom) = -0.115
! - relative energy among the computed polymorphs (meV per atom) = 28.8
! - DFT total energy (eV per atom) = -2.28
! - space-group type = Pm (6)

12.
! LiNd3In2 (PBE, relaxed); values from VASP
&SYSTEM
  ibrav = 0, nat = 6, ntyp = 3
/
ATOMIC_SPECIES
Nd 144.24 Nd.upf
Li 6.94 Li.upf
In 114.82 In.upf
CELL_PARAMETERS angstrom
-2.297 -1.787 2.379
-1.529 -1.869 -2.881
8.275 -8.848 1.345
ATOMIC_POSITIONS angstrom
Nd 0.000 0.000 0.000
Nd 2.780 -2.973 0.452
Li 2.224 -6.252 0.422
In 4.918 -9.132 0.860
Nd 5.495 -5.875 0.893
In -0.470 -3.372 -0.016
! - D(E_F) (states/eV/cell) = 4.80
! - formation energy from the elements (eV/atom) = -0.307
! - relative energy among the computed polymorphs (meV per atom) = 36.1
! - DFT total energy (eV per atom) = -3.92
! - space-group type = P4/mmm (123)

13.
! LiDy3Tl3 (PBE, relaxed); values from VASP
&SYSTEM
  ibrav = 0, nat = 14, ntyp = 3
/
ATOMIC_SPECIES
Li 6.94 Li.upf
Dy 162.50 Dy.upf
Tl 204.38 Tl.upf
CELL_PARAMETERS angstrom
-3.739 -2.679 -0.353
0.844 -5.495 2.621
-6.357 3.247 12.534
ATOMIC_POSITIONS angstrom
Li -5.310 -1.184 4.934
Li -3.942 -3.743 9.867
Dy -7.123 0.407 12.059
Tl -6.139 -4.475 8.546
Tl -5.692 -1.809 13.716
Dy -2.183 -1.367 3.346
Tl -3.114 -0.452 6.256
Tl -4.479 -6.293 4.770
Dy -7.070 -3.560 11.455
Tl -4.773 1.366 10.032
Dy -3.614 -3.752 6.456
Dy -2.129 -5.334 2.742
Tl -3.561 -3.117 1.085
Dy -5.639 -1.175 8.345
! - D(E_F) (states/eV/cell) = 10.27
! - formation energy from the elements (eV/atom) = -0.281
! - relative energy among the computed polymorphs (meV per atom) = 0.0
! - DFT total energy (eV per atom) = -3.54
! - space-group type = C2/m (12)